1.
This record from Alexandria describes a relaxed structure of TbPtF7. The functional is GGA-PBEsol.

Results
spin magnetization	0.001	μB per cell
raw formation energy	-2.606	eV/atom

```
data_TbPtF7
_space_group_name_H-M_alt 'P 1 21/c 1'
_space_group_IT_number 14
_space_group_name_Hall '-P 2ybc'
_cell_length_a 8.800
_cell_length_b 5.446
_cell_length_c 11.843
_cell_angle_alpha 90.00
_cell_angle_beta 117.86
_cell_angle_gamma 90.00
loop_
_atom_site_label
_atom_site_fract_x
_atom_site_fract_y
_atom_site_fract_z
Tb1 0.187 0.239 0.264
Pt1 0.272 0.743 0.043
F1 0.023 0.745 0.949
F2 0.034 0.593 0.732
F3 0.255 0.556 0.176
F4 0.274 0.040 0.134
F5 0.279 0.061 0.458
F6 0.295 0.563 0.414
F7 0.479 0.229 0.359
```

---

2.
This record from Alexandria describes a relaxed structure of VO2F. The functional is GGA-PBEsol.

Results
spin magnetization	0.000	μB per cell
raw formation energy	-2.426	eV/atom

```
data_VO2F
_space_group_name_H-M_alt 'P 31'
_space_group_IT_number 144
_space_group_name_Hall 'P 31'
_cell_length_a 5.1883
_cell_length_b 5.1883
_cell_length_c 12.7410
_cell_angle_alpha 90.00
_cell_angle_beta 90.00
_cell_angle_gamma 120.00
loop_
_atom_site_label
_atom_site_fract_x
_atom_site_fract_y
_atom_site_fract_z
V1 0.0074 0.3812 0.0000
V2 0.0194 0.2872 0.5002
O1 0.0084 0.7845 0.2544
O2 0.1084 0.1078 0.0879
O3 0.2208 0.6588 0.0845
O4 0.4577 0.3383 0.2524
F1 0.1043 0.6779 0.5845
F2 0.5478 0.3283 0.7531
```

---

3.
This record from Alexandria describes a relaxed structure of AlInPb2N. The functional is GGA-PBEsol.

Results
spin magnetization	0.000	μB per cell
raw formation energy	0.058	eV/atom

```
data_AlInPb2N
_space_group_name_H-M_alt 'P 4/m m m'
_space_group_IT_number 123
_space_group_name_Hall '-P 4 2'
_cell_length_a 5.601
_cell_length_b 5.601
_cell_length_c 3.581
_cell_angle_alpha 90.00
_cell_angle_beta 90.00
_cell_angle_gamma 90.00
loop_
_atom_site_label
_atom_site_fract_x
_atom_site_fract_y
_atom_site_fract_z
Al1 0.000 0.000 0.000
In1 0.500 0.500 0.000
Pb1 0.000 0.500 0.500
N1 0.000 0.000 0.500
```

---

4.
This record from Alexandria describes a relaxed structure of AlHgPb2. The functional is GGA-PBEsol.

Results
calculated formation energy	157	meV per atom
spin magnetization	0.001	μB per cell

```
data_AlHgPb2
_space_group_name_H-M_alt 'F m -3 m'
_space_group_IT_number 225
_space_group_name_Hall '-F 4 2 3'
_cell_length_a 7.404
_cell_length_b 7.404
_cell_length_c 7.404
_cell_angle_alpha 90.00
_cell_angle_beta 90.00
_cell_angle_gamma 90.00
loop_
_atom_site_label
_atom_site_fract_x
_atom_site_fract_y
_atom_site_fract_z
Al1 0.000 0.000 0.000
Hg1 0.000 0.000 0.500
Pb1 0.250 0.250 0.250
```

---

5.
This record from Alexandria describes a relaxed structure of TlSeSBr2. The functional is GGA-PBEsol.

Results
spin magnetization	0.000	μB per cell
raw formation energy	-0.052	eV/atom

```
data_TlSeSBr2
_space_group_name_H-M_alt 'P 4/m m m'
_space_group_IT_number 123
_space_group_name_Hall '-P 4 2'
_cell_length_a 5.121
_cell_length_b 5.121
_cell_length_c 4.932
_cell_angle_alpha 90.00
_cell_angle_beta 90.00
_cell_angle_gamma 90.00
loop_
_atom_site_label
_atom_site_fract_x
_atom_site_fract_y
_atom_site_fract_z
Tl1 0.000 0.000 0.000
Se1 0.500 0.500 0.000
S1 0.500 0.500 0.500
Br1 0.000 0.500 0.500
```

---

6.
This record from Alexandria describes a relaxed structure of CeScGe. The functional is GGA-PBEsol.

Results
calculated formation energy	-598	meV per atom
spin magnetization	5.975	μB per cell

```
data_CeScGe
_space_group_name_H-M_alt 'I 4/m m m'
_space_group_IT_number 139
_space_group_name_Hall '-I 4 2'
_cell_length_a 4.198
_cell_length_b 4.198
_cell_length_c 15.771
_cell_angle_alpha 90.00
_cell_angle_beta 90.00
_cell_angle_gamma 90.00
loop_
_atom_site_label
_atom_site_fract_x
_atom_site_fract_y
_atom_site_fract_z
Ce1 0.000 0.000 0.180
Sc1 0.000 0.500 0.000
Ge1 0.000 0.000 0.376
```

---

no.,density (g cm⁻³)
1,6.4
2,3.4
3,8.4
4,10.5
5,6.1
6,6.2